Record 1
A plane-wave DFT calculation with PBE was carried out for a relaxed structure of La2AlCd3Ni2.

POSCAR file:
```
La2AlCd3Ni2
1.0
4.9281 -2.1479 0.0000
4.9281 2.1479 0.0000
-0.0839 0.0000 7.9559
La Al Cd Ni
2 1 3 2
Direct
0.0000 0.0000 0.0000
0.1177 0.1177 0.5100
0.4021 0.4021 0.7032
0.4114 0.4114 0.3108
0.7047 0.7047 0.8109
0.7124 0.7124 0.2086
0.2918 0.2918 0.9930
0.8522 0.8522 0.5306
```

V = 21.05 Å³ per atom
E_tot = -3.834 eV/atom

Record 2
A plane-wave DFT calculation with PBE was carried out for a relaxed structure of LaAlCdNi.

POSCAR file:
```
LaAlCdNi
1.0
4.9793 -2.1216 0.0000
4.9793 2.1216 0.0000
-0.0597 0.0000 7.7838
La Al Cd Ni
2 2 2 2
Direct
0.0565 0.0565 0.2617
0.9435 0.9435 0.7383
0.3397 0.3397 0.4436
0.6603 0.6603 0.5564
0.3478 0.3478 0.0514
0.6522 0.6522 0.9486
0.2196 0.2196 0.7176
0.7804 0.7804 0.2824
```

V = 20.56 Å³ per atom
E_tot = -4.251 eV/atom

Record 3
A plane-wave DFT calculation with PBE was carried out for a relaxed structure of LaAlCdNi.

POSCAR file:
```
LaAlCdNi
1.0
2.1612 -4.9227 0.0000
2.1612 4.9227 0.0000
0.0000 0.0000 7.7048
La Al Cd Ni
2 2 2 2
Direct
0.0578 0.9422 0.5000
0.9422 0.0578 0.0000
0.3383 0.6617 0.7049
0.6617 0.3383 0.2049
0.3546 0.6454 0.3117
0.6454 0.3546 0.8117
0.2190 0.7810 0.0140
0.7810 0.2190 0.5140
```

V = 20.49 Å³ per atom
E_tot = -4.211 eV/atom

Look up the V of the second one. 20.56 Å³ per atom